First-principles (PBEsol) data for a geometry-optimized CaCrRh3 structure, as listed in Alexandria.

Cell: 4.456 4.456 4.456 Å, 90.00 90.00 90.00°
Element x y z (fractional)
Cr  0.000  0.000  0.000
Ca  0.500  0.500  0.500
Rh  0.000  0.500  0.000
Rh  0.000  0.000  0.500
Rh  0.500  0.000  0.000

Its space-group type is Pm-3m, No. 221. The calculation puts the volume at 88.5 Å³ per cell. The calculation puts the total energy at -7.059 eV/atom. The value obtained for the magnetization is 0.0 μB/f.u.